1.
VASP calculation (GGA-PBE) on a relaxed Al2CuTc crystal. Values from VASP.

Properties
SG: Pmm2 (25)
Total magnetic moment (Bohr magnetons per cell): 0.0
ρ (Mg/m³): 6.31
E (eV per atom): -5.6288
Polymorph energy (0 for the lowest one) (eV/f.u.): 0.959
ΔH_f (0 K) (meV per atom): -142

```
&SYSTEM
  ibrav = 0, nat = 4, ntyp = 3
/
ATOMIC_SPECIES
Al 26.98 Al.upf
Cu 63.55 Cu.upf
Tc 98.00 Tc.upf
CELL_PARAMETERS angstrom
2.7358 0.0000 0.0000
0.0000 3.9630 0.0000
0.0000 0.0000 5.2324
ATOMIC_POSITIONS crystal
Al 0.0000 0.0000 0.0000
Al 0.5000 0.5000 0.2986
Cu 0.0000 0.0000 0.5064
Tc 0.5000 0.5000 0.7946
```

---

2.
VASP calculation (GGA-PBE) on a relaxed Al2Cu2Tc crystal. Values from VASP.

Properties
SG: I4/mmm (139)
Total magnetic moment (Bohr magnetons per cell): 0.6
ρ (Mg/m³): 6.53
E (eV per atom): -5.2483
Polymorph energy (0 for the lowest one) (eV/f.u.): 0.389
ΔH_f (0 K) (meV per atom): -40

```
&SYSTEM
  ibrav = 0, nat = 5, ntyp = 3
/
ATOMIC_SPECIES
Al 26.98 Al.upf
Cu 63.55 Cu.upf
Tc 98.00 Tc.upf
CELL_PARAMETERS angstrom
-1.6769 1.6769 6.3044
1.6769 -1.6769 6.3044
1.6769 1.6769 -6.3044
ATOMIC_POSITIONS crystal
Al 0.0992 0.0992 0.0000
Al 0.9008 0.9008 0.0000
Cu 0.2500 0.7500 0.5000
Cu 0.7500 0.2500 0.5000
Tc 0.5000 0.5000 0.0000
```

---

3.
VASP calculation (GGA-PBE) on a relaxed Al2CuTc crystal. Values from VASP.

Properties
SG: Pmmm (47)
Total magnetic moment (Bohr magnetons per cell): 0.0
ρ (Mg/m³): 6.42
E (eV per atom): -5.7972
Polymorph energy (0 for the lowest one) (eV/f.u.): 0.285
ΔH_f (0 K) (meV per atom): -310

```
&SYSTEM
  ibrav = 0, nat = 4, ntyp = 3
/
ATOMIC_SPECIES
Al 26.98 Al.upf
Cu 63.55 Cu.upf
Tc 98.00 Tc.upf
CELL_PARAMETERS angstrom
3.1111 0.0000 0.0000
0.0000 3.1408 0.0000
0.0000 0.0000 5.7056
ATOMIC_POSITIONS crystal
Al 0.0000 0.0000 0.2391
Al 0.0000 0.0000 0.7609
Cu 0.5000 0.5000 0.5000
Tc 0.5000 0.5000 0.0000
```

---

4.
VASP calculation (GGA-PBE) on a relaxed Al2CuTc crystal. Values from VASP.

Properties
SG: I-42d (122)
Total magnetic moment (Bohr magnetons per cell): 0.0
ρ (Mg/m³): 6.01
E (eV per atom): -5.3716
Polymorph energy (0 for the lowest one) (eV/f.u.): 1.987
ΔH_f (0 K) (meV per atom): 115

```
&SYSTEM
  ibrav = 0, nat = 8, ntyp = 3
/
ATOMIC_SPECIES
Al 26.98 Al.upf
Cu 63.55 Cu.upf
Tc 98.00 Tc.upf
CELL_PARAMETERS angstrom
-3.3289 3.3289 2.6880
3.3289 -3.3289 2.6880
3.3289 3.3289 -2.6880
ATOMIC_POSITIONS crystal
Al 0.1014 0.6250 0.9764
Al 0.3750 0.3514 0.4764
Al 0.6486 0.1250 0.0236
Al 0.8750 0.8986 0.5236
Cu 0.0000 0.0000 0.0000
Cu 0.7500 0.2500 0.5000
Tc 0.2500 0.7500 0.5000
Tc 0.5000 0.5000 0.0000
```

---

5.
VASP calculation (GGA-PBE) on a relaxed Al2CuTc crystal. Values from VASP.

Properties
SG: P4/mmm (123)
Total magnetic moment (Bohr magnetons per cell): 0.0
ρ (Mg/m³): 6.56
E (eV per atom): -5.8684
Polymorph energy (0 for the lowest one) (eV/f.u.): 0.000
ΔH_f (0 K) (meV per atom): -382

```
&SYSTEM
  ibrav = 0, nat = 4, ntyp = 3
/
ATOMIC_SPECIES
Al 26.98 Al.upf
Cu 63.55 Cu.upf
Tc 98.00 Tc.upf
CELL_PARAMETERS angstrom
4.1116 0.0000 0.0000
0.0000 4.1116 0.0000
0.0000 0.0000 3.2259
ATOMIC_POSITIONS crystal
Al 0.0000 0.5000 0.0000
Al 0.5000 0.0000 0.0000
Cu 0.0000 0.0000 0.5000
Tc 0.5000 0.5000 0.5000
```

---

6.
VASP calculation (GGA-PBE) on a relaxed Al5CuTc crystal. Values from VASP.

Properties
SG: Imm2 (44)
Total magnetic moment (Bohr magnetons per cell): 0.7
ρ (Mg/m³): 3.34
E (eV per atom): -4.3538
ΔH_f (0 K) (meV per atom): 386

```
&SYSTEM
  ibrav = 0, nat = 7, ntyp = 3
/
ATOMIC_SPECIES
Al 26.98 Al.upf
Cu 63.55 Cu.upf
Tc 98.00 Tc.upf
CELL_PARAMETERS angstrom
-3.3971 4.6887 2.3152
3.3971 -4.6887 2.3152
3.3971 4.6887 -2.3152
ATOMIC_POSITIONS crystal
Al 0.0000 0.0000 0.0000
Al 0.2086 0.4579 0.7507
Al 0.3438 0.0216 0.6778
Al 0.3438 0.6659 0.3222
Al 0.7072 0.4579 0.2493
Cu 0.5130 0.5130 0.0000
Tc 0.8524 0.3524 0.5000
```